Here is an optimized crystal structure of Sm5Ho12In2 from Alexandria via LeMat-Bulk. Energies are from PBE-GGA.

a = 8.9740 Å, b = 8.9740 Å, c = 8.3484 Å
α = 91.79°, β = 91.79°, γ = 62.37°
Closest atoms and distances in Å follow each position.
Sites, in units of the cell vectors:
1 Sm 0.0000 0.0000 0.0000  10 Ho 3.36-3.69, 2 Sm 3.61
2 Sm 0.2330 0.2330 0.0768  8 Ho 3.34-3.54, 2 Sm 3.58-3.61
3 Sm 0.3059 0.3059 0.4885  2 In 3.41, 8 Ho 3.45-3.69, 1 Sm 3.58
4 Sm 0.6941 0.6941 0.5115  2 In 3.41, 8 Ho 3.45-3.69, 1 Sm 3.58
5 Sm 0.7670 0.7670 0.9232  8 Ho 3.34-3.54, 2 Sm 3.58-3.61
6 Ho 0.0385 0.6707 0.2641  1 In 3.19, 4 Ho 3.35-3.57, 1 Sm 3.54
7 Ho 0.0792 0.0792 0.3809  5 Ho 3.20-3.54, 3 Sm 3.36-3.56, 2 In 3.39
8 Ho 0.1803 0.5673 0.8321  5 Ho 3.30-3.60, 4 Sm 3.39-3.69, 1 In 3.44
9 Ho 0.3293 0.9615 0.7359  1 In 3.19, 4 Ho 3.35-3.57, 1 Sm 3.54
10 Ho 0.4327 0.8197 0.1679  5 Ho 3.30-3.60, 4 Sm 3.39-3.69, 1 In 3.44
11 Ho 0.4459 0.4459 0.1744  2 In 3.27, 7 Ho 3.30-3.52, 2 Sm 3.34-3.45
12 Ho 0.5541 0.5541 0.8256  2 In 3.27, 7 Ho 3.30-3.52, 2 Sm 3.34-3.45
13 Ho 0.5673 0.1803 0.8321  5 Ho 3.30-3.60, 4 Sm 3.39-3.69, 1 In 3.44
14 Ho 0.6707 0.0385 0.2641  1 In 3.19, 4 Ho 3.35-3.57, 1 Sm 3.54
15 Ho 0.8197 0.4327 0.1679  5 Ho 3.30-3.60, 4 Sm 3.39-3.69, 1 In 3.44
16 Ho 0.9208 0.9208 0.6191  5 Ho 3.20-3.54, 3 Sm 3.36-3.56, 2 In 3.39
17 Ho 0.9615 0.3293 0.7359  1 In 3.19, 4 Ho 3.35-3.57, 1 Sm 3.54
18 In 0.3215 0.6785 0.5000  8 Ho 3.19-3.44, 1 In 3.32, 2 Sm 3.41
19 In 0.6785 0.3215 0.5000  8 Ho 3.19-3.44, 1 In 3.32, 2 Sm 3.41

Computed properties:
As for the symmetry: C2/m, No. 12. For the calculated volume, the calculation gives 595.2 Å³/cell. The formation energy is -0.2 eV/f.u. For the magnetic moment, the calculation gives 0.000 μB/f.u.